This record from Alexandria describes an optimized crystal structure of Sr2HgPPt. The functional is PBE.

As for the excess energy over the best structure of this formula in the dataset: 79.76 kJ/mol of atoms. The formation energy from the elements is 0.164 eV per atom. The theoretical density comes out at 5.86 g cm⁻³. The uncorrected energy is -2.860 eV per atom. The calculated volume is 34.13 A^3/atom.

The structure belongs to space group P4/mmm (No. 123); the cell edges are 6.070, 6.070 and 4.631 Å and the angles 90.00°, 90.00° and 90.00°. The distinct sites, in fractional coordinates, are Sr at (0.000, 0.500, 0.000), Hg at (0.000, 0.000, 0.000), P at (0.000, 0.000, 0.500) and Pt at (0.500, 0.500, 0.500).



This record from Alexandria describes an optimized crystal structure of Li2SiAu2. The functional is PBE.

As for the excess energy over the best structure of this formula in the dataset: 16.88 kJ/mol of atoms. The theoretical density comes out at 8.95 g cm⁻³. The uncorrected energy is -3.417 eV per atom. For the formation energy from raw total energies, the calculation gives -1.28 eV per formula unit. The calculated volume is 16.17 A^3/atom.

The structure belongs to space group Ibam (No. 72); the cell edges are 5.823, 11.302 and 4.915 Å and the angles 90.00°, 90.00° and 90.00°. The distinct sites, in fractional coordinates, are Li at (0.139, 0.104, 0.000), Si at (0.000, 0.500, 0.250) and Au at (0.197, 0.330, 0.000).



This record from Alexandria describes an optimized crystal structure of CaHgRu3. The functional is PBE.

As for the excess energy over the best structure of this formula in the dataset: 0.00 kJ/mol of atoms. The formation energy from the elements is 1.710 eV per atom. The theoretical density comes out at 7.12 g cm⁻³. The uncorrected energy is -4.316 eV per atom. The calculated volume is 25.38 A^3/atom.

The structure belongs to space group Pm-3m (No. 221); the cell edges are 5.025, 5.025 and 5.025 Å and the angles 90.00°, 90.00° and 90.00°. The distinct sites, in fractional coordinates, are Ca at (0.000, 0.000, 0.000), Hg at (0.500, 0.500, 0.500) and Ru at (0.000, 0.500, 0.500).



- Which value of theoretical density does entry 2 give?
  8.95 g cm⁻³